# PBE-GGA KCa2As, relaxed
data_KCa2As
_cell_length_a 12.5474
_cell_length_b 4.1043
_cell_length_c 7.4050
_cell_angle_alpha 90.00
_cell_angle_beta 117.99
_cell_angle_gamma 90.00
_space_group_name_H-M_alt 'C 1 m 1'
_space_group_IT_number 8
loop_
_space_group_symop_operation_xyz
'x,y,z'
'x,-y,z'
'x+1/2,y+1/2,z'
'x+1/2,-y+1/2,z'
loop_
_atom_site_label
_atom_site_type_symbol
_atom_site_fract_x
_atom_site_fract_y
_atom_site_fract_z
_atom_site_occupancy
K1 K 0.0000 0.0000 0.0000 1
Ca1 Ca 0.1630 0.5000 0.6891 1
Ca2 Ca 0.3286 0.5000 0.2971 1
As1 As 0.2689 0.0000 0.9943 1
# Energy of formation from the pure elements ... -1.854 eV/f.u.
# DFT total energy ... -0.2132 Ry per atom

# PBE-GGA KN4, relaxed
data_KN4
_cell_length_a 3.8927
_cell_length_b 3.8153
_cell_length_c 9.8019
_cell_angle_alpha 90.00
_cell_angle_beta 101.31
_cell_angle_gamma 90.00
_space_group_name_H-M_alt 'P 1 2/m 1'
_space_group_IT_number 10
loop_
_space_group_symop_operation_xyz
'x,y,z'
'-x,-y,-z'
'-x,y,-z'
'x,-y,z'
loop_
_atom_site_label
_atom_site_type_symbol
_atom_site_fract_x
_atom_site_fract_y
_atom_site_fract_z
_atom_site_occupancy
K1 K 0.0000 0.0000 0.0000 1
N1 N 0.1773 0.0000 0.3518 1
N2 N 0.4273 0.5000 0.8628 1
# DFT total energy ... -0.2367 Ry per atom
# Relative energy among the computed polymorphs ... 3.7457 eV per atom
# Energy relative to the elements, uncorrected ... 3.659 eV per atom

# PBE-GGA RbIrRu, relaxed
data_RbIrRu
_cell_length_a 4.6100
_cell_length_b 4.6100
_cell_length_c 7.6853
_cell_angle_alpha 90.00
_cell_angle_beta 90.00
_cell_angle_gamma 90.00
_space_group_name_H-M_alt 'P 4/n m m'
_space_group_IT_number 129
loop_
_space_group_symop_operation_xyz
'x,y,z'
'-x,-y,-z'
'-y+1/2,x,z'
'y+1/2,-x,-z'
'-x+1/2,-y+1/2,z'
'x+1/2,y+1/2,-z'
'y,-x+1/2,z'
'-y,x+1/2,-z'
'x+1/2,-y,-z'
'-x+1/2,y,z'
'-y,-x,-z'
'y,x,z'
'-x,y+1/2,-z'
'x,-y+1/2,z'
'y+1/2,x+1/2,-z'
'-y+1/2,-x+1/2,z'
loop_
_atom_site_label
_atom_site_type_symbol
_atom_site_fract_x
_atom_site_fract_y
_atom_site_fract_z
_atom_site_occupancy
Rb1 Rb 0.2500 0.2500 0.1443 1
Ir1 Ir 0.2500 0.2500 0.6141 1
Ru1 Ru 0.2500 0.7500 0.5000 1
# Energy of formation from the pure elements ... 1.628 eV/f.u.
# DFT total energy ... -0.4282 Ry per atom
# Relative energy among the computed polymorphs ... 0.0423 eV per atom